Entry 1:
The following is a DFT calculation (SCAN) of a PBEsol-optimized structure of MnTlRu.

Results
Raw total energy ... -124.3 eV per cell
E_form ... 8.47 kcal/mol of atoms
Total magnetic moment ... 3.9 μB per formula unit
Crystal system ... hexagonal
Fermi-level density of states ... 0.537 states/eV/atom

Cell and atoms, written as extended XYZ:
```
3
Lattice="4.2494 0.0000 0.0000 -2.1247 3.6801 0.0000 0.0000 0.0000 3.1331" Properties=species:S:1:pos:R:3 pbc="T T T"
Mn 0.0000 0.0000 0.0000
Tl 2.1247 1.2267 1.5666
Ru 0.0000 2.4534 0.0000
```

=====

Entry 2:
The following is a DFT calculation (SCAN) of a PBEsol-optimized structure of Sc2Co2Cu.

Results
Raw total energy ... -158.0 eV per cell
E_form ... -3.39 kcal/mol of atoms
Total magnetic moment ... 0.0 μB per formula unit
Crystal system ... tetragonal
Polymorph energy (0 for the lowest one) ... 0.0 kJ/mol of atoms
Fermi-level density of states ... 0.462 states/eV/atom

Cell and atoms, written as extended XYZ:
```
10
Lattice="6.3247 0.0000 0.0000 0.0000 6.3247 0.0000 0.0000 0.0000 3.6452" Properties=species:S:1:pos:R:3 pbc="T T T"
Sc 1.1251 2.0373 0.0000
Sc 2.0373 5.1997 0.0000
Sc 4.2874 1.1251 0.0000
Sc 5.1997 4.2874 0.0000
Co 0.8033 3.9656 1.8226
Co 2.3591 0.8033 1.8226
Co 3.9656 5.5215 1.8226
Co 5.5215 2.3591 1.8226
Cu 0.0000 0.0000 1.8226
Cu 3.1624 3.1624 1.8226
```

=====

Entry 3:
The following is a DFT calculation (SCAN) of a PBEsol-optimized structure of ZrCl3O.

Results
Raw total energy ... -65.4 eV per cell
Total magnetic moment ... 1.5 μB per formula unit
Crystal system ... cubic
Fermi-level density of states ... 2.012 states/eV/atom
Energy relative to the elements, uncorrected ... -898 meV per atom

Cell and atoms, written as extended XYZ:
```
5
Lattice="4.9105 0.0000 0.0000 0.0000 4.9105 0.0000 0.0000 0.0000 4.9105" Properties=species:S:1:pos:R:3 pbc="T T T"
Zr 0.0000 0.0000 0.0000
Cl 0.0000 0.0000 2.4552
Cl 0.0000 2.4552 0.0000
Cl 2.4552 0.0000 0.0000
O 2.4552 2.4552 2.4552
```

=====

Entry 4:
The following is a DFT calculation (SCAN) of a PBEsol-optimized structure of BeSi2C.

Results
Raw total energy ... -130.2 eV per cell
Total magnetic moment ... 0.0 μB per formula unit
Crystal system ... tetragonal
Fermi-level density of states ... 0.090 states/eV/atom
Energy relative to the elements, uncorrected ... 482 meV per atom

Cell and atoms, written as extended XYZ:
```
16
Lattice="4.9343 0.0000 0.0000 0.0000 4.9343 0.0000 0.0000 0.0000 8.5646" Properties=species:S:1:pos:R:3 pbc="T T T"
Be 0.0000 0.0000 0.0000
Be 0.0000 2.4672 2.1411
Be 2.4672 0.0000 6.4234
Be 2.4672 2.4672 4.2823
Si 0.9754 1.2336 5.3528
Si 1.2336 3.4426 7.4940
Si 1.2336 3.9590 3.2117
Si 1.4918 1.2336 1.0706
Si 3.4426 3.7008 1.0706
Si 3.7008 0.9754 3.2117
Si 3.7008 1.4918 7.4940
Si 3.9590 3.7008 5.3528
C 0.0000 0.0000 4.2823
C 0.0000 2.4672 6.4234
C 2.4672 0.0000 2.1411
C 2.4672 2.4672 0.0000
```